Below is a geometry-optimized Pr5Ho2Sc structure, with properties calculated at the PBE level.

Computed properties:
Formation enthalpy at 0 K: 125 meV/atom
SG: I4/mcm (140)

a b c (Å): 9.233 9.233 9.088
angles (deg): 120.53 120.53 90.00
Site moments in Bohr magnetons follow the coordinates.
Element x y z (fractional)
Ho  0.357  0.857  0.000  0.00
Ho  0.857  0.643  0.000  0.00
Ho  0.643  0.143  0.000  0.00
Ho  0.143  0.357  0.000  0.00
Pr  0.486  0.683  0.669  0.00
Pr  0.000  0.000  0.000  0.11
Pr  0.183  0.986  0.669  0.00
Pr  0.817  0.014  0.331  0.00
Pr  0.500  0.500  0.000  0.11
Pr  0.986  0.486  0.669  0.00
Pr  0.683  0.183  0.669  0.00
Pr  0.317  0.817  0.331  0.00
Pr  0.014  0.514  0.331  0.00
Pr  0.514  0.317  0.331  0.00
Sc  0.250  0.250  0.500  0.24
Sc  0.750  0.750  0.500  0.24